4
Lattice="-2.267 2.267 5.007 2.267 -2.267 5.007 2.267 2.267 -5.007" Properties=species:S:1:pos:R:3 comment="meta-GGA SCAN LaY2Cu, PBEsol geometry" e_form_mev_per_atom=217 m_tot_mub_per_fu=0.000 relative_energy_ev_per_atom=0.329 e_tot_ev_per_atom=-28.280 pbc="T T T"
La 0.000 0.000 0.000
Y 2.267 0.000 2.503
Y 0.000 2.267 2.503
Cu 0.000 0.000 5.007